## CrTeSeN2 (PBE)

Data for CrTeSeN2 after structural relaxation.

CIF file:
```
data_CrTeSeN2
_chemical_formula_sum 'Cr1 Te1 Se1 N2'
_symmetry_space_group_name_H-M 'P 1'
_symmetry_Int_Tables_number 1
_symmetry_space_group_name_Hall 'P 1'
_cell_length_a 3.797
_cell_length_b 3.797
_cell_length_c 7.555
_cell_angle_alpha 90.00
_cell_angle_beta 90.00
_cell_angle_gamma 90.00
loop_
_atom_site_label
_atom_site_fract_x
_atom_site_fract_y
_atom_site_fract_z
_atom_site_occupancy
Cr1 0.500 0.500 0.500 1
Te1 0.000 0.000 0.500 1
N1 0.500 0.000 0.000 1
Se1 0.000 0.000 0.000 1
N2 0.000 0.500 0.000 1
```

## Properties
**Total magnetic moment**: 4.838 μB per cell
**Energy**: -5.05 eV/atom

## TlCrSeN2 (PBE)

Data for TlCrSeN2 after structural relaxation.

CIF file:
```
data_TlCrSeN2
_chemical_formula_sum 'Tl1 Cr1 Se1 N2'
_symmetry_space_group_name_H-M 'P 1'
_symmetry_Int_Tables_number 1
_symmetry_space_group_name_Hall 'P 1'
_cell_length_a 4.140
_cell_length_b 4.140
_cell_length_c 5.921
_cell_angle_alpha 90.00
_cell_angle_beta 90.00
_cell_angle_gamma 90.00
loop_
_atom_site_label
_atom_site_fract_x
_atom_site_fract_y
_atom_site_fract_z
_atom_site_occupancy
N1 0.000 0.500 0.000 1
Tl1 0.000 0.000 0.000 1
Cr1 0.500 0.500 0.500 1
Se1 0.000 0.000 0.500 1
N2 0.500 0.000 0.000 1
```

## Properties
**Total magnetic moment**: 2.301 μB per cell
**Energy**: -4.09 eV/atom

## TlCrSeN2 (PBE)

Data for TlCrSeN2 after structural relaxation.

CIF file:
```
data_TlCrSeN2
_chemical_formula_sum 'Tl1 Cr1 Se1 N2'
_symmetry_space_group_name_H-M 'P 1'
_symmetry_Int_Tables_number 1
_symmetry_space_group_name_Hall 'P 1'
_cell_length_a 3.953
_cell_length_b 6.020
_cell_length_c 3.953
_cell_angle_alpha 90.00
_cell_angle_beta 90.00
_cell_angle_gamma 90.00
loop_
_atom_site_label
_atom_site_fract_x
_atom_site_fract_y
_atom_site_fract_z
_atom_site_occupancy
Se1 0.000 0.000 0.000 1
Tl1 0.000 0.500 0.000 1
N1 0.500 0.000 0.000 1
N2 0.000 0.000 0.500 1
Cr1 0.500 0.500 0.500 1
```

## Properties
**Total magnetic moment**: 3.628 μB per cell
**Energy**: -4.59 eV/atom

## TlCrSeN2 (PBE)

Data for TlCrSeN2 after structural relaxation.

CIF file:
```
data_TlCrSeN2
_chemical_formula_sum 'Tl1 Cr1 Se1 N2'
_symmetry_space_group_name_H-M 'P 1'
_symmetry_Int_Tables_number 1
_symmetry_space_group_name_Hall 'P 1'
_cell_length_a 3.820
_cell_length_b 5.274
_cell_length_c 3.820
_cell_angle_alpha 90.00
_cell_angle_beta 90.00
_cell_angle_gamma 90.00
loop_
_atom_site_label
_atom_site_fract_x
_atom_site_fract_y
_atom_site_fract_z
_atom_site_occupancy
N1 0.000 0.000 0.500 1
N2 0.500 0.000 0.000 1
Tl1 0.500 0.500 0.500 1
Cr1 0.000 0.000 0.000 1
Se1 0.000 0.500 0.000 1
```

## Properties
**Total magnetic moment**: 0.000 μB per cell
**Energy**: -5.91 eV/atom

## CrWSeN2 (PBE)

Data for CrWSeN2 after structural relaxation.

CIF file:
```
data_CrWSeN2
_chemical_formula_sum 'Cr1 W1 Se1 N2'
_symmetry_space_group_name_H-M 'P 1'
_symmetry_Int_Tables_number 1
_symmetry_space_group_name_Hall 'P 1'
_cell_length_a 3.894
_cell_length_b 3.894
_cell_length_c 5.337
_cell_angle_alpha 90.00
_cell_angle_beta 90.00
_cell_angle_gamma 90.00
loop_
_atom_site_label
_atom_site_fract_x
_atom_site_fract_y
_atom_site_fract_z
_atom_site_occupancy
N1 0.000 0.500 0.000 1
W1 0.000 0.000 0.000 1
N2 0.500 0.000 0.000 1
Cr1 0.500 0.500 0.500 1
Se1 0.000 0.000 0.500 1
```

## Properties
**Total magnetic moment**: 4.351 μB per cell
**Energy**: -8.17 eV/atom

## CrWSeN2 (PBE)

Data for CrWSeN2 after structural relaxation.

CIF file:
```
data_CrWSeN2
_chemical_formula_sum 'Cr1 W1 Se1 N2'
_symmetry_space_group_name_H-M 'P 1'
_symmetry_Int_Tables_number 1
_symmetry_space_group_name_Hall 'P 1'
_cell_length_a 3.738
_cell_length_b 3.738
_cell_length_c 5.045
_cell_angle_alpha 90.00
_cell_angle_beta 90.00
_cell_angle_gamma 90.00
loop_
_atom_site_label
_atom_site_fract_x
_atom_site_fract_y
_atom_site_fract_z
_atom_site_occupancy
N1 0.000 0.500 0.000 1
Se1 0.000 0.000 0.500 1
N2 0.500 0.000 0.000 1
W1 0.500 0.500 0.500 1
Cr1 0.000 0.000 0.000 1
```

## Properties
**Total magnetic moment**: 3.293 μB per cell
**Energy**: -7.46 eV/atom

## ZnCrSeN2 (PBE)

Data for ZnCrSeN2 after structural relaxation.

CIF file:
```
data_ZnCrSeN2
_chemical_formula_sum 'Zn1 Cr1 Se1 N2'
_symmetry_space_group_name_H-M 'P 1'
_symmetry_Int_Tables_number 1
_symmetry_space_group_name_Hall 'P 1'
_cell_length_a 3.743
_cell_length_b 3.743
_cell_length_c 5.322
_cell_angle_alpha 90.00
_cell_angle_beta 90.00
_cell_angle_gamma 90.00
loop_
_atom_site_label
_atom_site_fract_x
_atom_site_fract_y
_atom_site_fract_z
_atom_site_occupancy
N1 0.000 0.500 0.000 1
Se1 0.000 0.000 0.500 1
Cr1 0.500 0.500 0.500 1
N2 0.500 0.000 0.000 1
Zn1 0.000 0.000 0.000 1
```

## Properties
**Total magnetic moment**: 0.458 μB per cell
**Energy**: -4.43 eV/atom

## ZnCrSeN2 (PBE)

Data for ZnCrSeN2 after structural relaxation.

CIF file:
```
data_ZnCrSeN2
_chemical_formula_sum 'Zn1 Cr1 Se1 N2'
_symmetry_space_group_name_H-M 'P 1'
_symmetry_Int_Tables_number 1
_symmetry_space_group_name_Hall 'P 1'
_cell_length_a 3.648
_cell_length_b 3.648
_cell_length_c 5.349
_cell_angle_alpha 90.00
_cell_angle_beta 90.00
_cell_angle_gamma 90.00
loop_
_atom_site_label
_atom_site_fract_x
_atom_site_fract_y
_atom_site_fract_z
_atom_site_occupancy
N1 0.000 0.500 0.000 1
N2 0.500 0.000 0.000 1
Cr1 0.000 0.000 0.000 1
Zn1 0.500 0.500 0.500 1
Se1 0.000 0.000 0.500 1
```

## Properties
**Total magnetic moment**: 0.000 μB per cell
**Energy**: -5.86 eV/atom

## ZrCrSeN2 (PBE)

Data for ZrCrSeN2 after structural relaxation.

CIF file:
```
data_ZrCrSeN2
_chemical_formula_sum 'Zr1 Cr1 Se1 N2'
_symmetry_space_group_name_H-M 'P 1'
_symmetry_Int_Tables_number 1
_symmetry_space_group_name_Hall 'P 1'
_cell_length_a 4.084
_cell_length_b 4.084
_cell_length_c 5.560
_cell_angle_alpha 90.00
_cell_angle_beta 90.00
_cell_angle_gamma 90.00
loop_
_atom_site_label
_atom_site_fract_x
_atom_site_fract_y
_atom_site_fract_z
_atom_site_occupancy
N1 0.500 0.000 0.000 1
Cr1 0.500 0.500 0.500 1
Zr1 0.000 0.000 0.000 1
N2 0.000 0.500 0.000 1
Se1 0.000 0.000 0.500 1
```

## Properties
**Total magnetic moment**: 3.174 μB per cell
**Energy**: -7.25 eV/atom

## ZrCrSeN2 (PBE)

Data for ZrCrSeN2 after structural relaxation.

CIF file:
```
data_ZrCrSeN2
_chemical_formula_sum 'Zr1 Cr1 Se1 N2'
_symmetry_space_group_name_H-M 'P 1'
_symmetry_Int_Tables_number 1
_symmetry_space_group_name_Hall 'P 1'
_cell_length_a 3.776
_cell_length_b 3.776
_cell_length_c 4.837
_cell_angle_alpha 90.00
_cell_angle_beta 90.00
_cell_angle_gamma 90.00
loop_
_atom_site_label
_atom_site_fract_x
_atom_site_fract_y
_atom_site_fract_z
_atom_site_occupancy
N1 0.500 0.000 0.000 1
Se1 0.000 0.000 0.500 1
Cr1 0.000 0.000 0.000 1
Zr1 0.500 0.500 0.500 1
N2 0.000 0.500 0.000 1
```

## Properties
**Total magnetic moment**: 0.263 μB per cell
**Energy**: -7.60 eV/atom

## CrSi3N (PBE)

Data for CrSi3N after structural relaxation.

CIF file:
```
data_CrSi3N
_chemical_formula_sum 'Cr1 Si3 N1'
_symmetry_space_group_name_H-M 'P 1'
_symmetry_Int_Tables_number 1
_symmetry_space_group_name_Hall 'P 1'
_cell_length_a 4.441
_cell_length_b 4.441
_cell_length_c 4.441
_cell_angle_alpha 90.00
_cell_angle_beta 90.00
_cell_angle_gamma 90.00
loop_
_atom_site_label
_atom_site_fract_x
_atom_site_fract_y
_atom_site_fract_z
_atom_site_occupancy
Si1 0.000 0.000 0.500 1
Cr1 0.000 0.000 0.000 1
N1 0.500 0.500 0.500 1
Si2 0.500 0.000 0.000 1
Si3 0.000 0.500 0.000 1
```

## Properties
**Total magnetic moment**: 3.000 μB per cell
**Energy**: -5.65 eV/atom

## Cr6SiN (PBE)

Data for Cr6SiN after structural relaxation.

CIF file:
```
data_Cr6SiN
_chemical_formula_sum 'Cr6 Si1 N1'
_symmetry_space_group_name_H-M 'P 1'
_symmetry_Int_Tables_number 1
_symmetry_space_group_name_Hall 'P 1'
_cell_length_a 4.399
_cell_length_b 5.695
_cell_length_c 4.534
_cell_angle_alpha 73.21
_cell_angle_beta 77.87
_cell_angle_gamma 55.64
loop_
_atom_site_label
_atom_site_fract_x
_atom_site_fract_y
_atom_site_fract_z
_atom_site_occupancy
Cr1 0.518 0.275 0.113 1
N1 0.000 0.000 0.000 1
Cr2 0.105 0.297 0.730 1
Cr3 0.482 0.725 0.887 1
Cr4 0.895 0.703 0.270 1
Cr5 0.183 0.072 0.307 1
Cr6 0.817 0.928 0.693 1
Si1 0.500 0.500 0.500 1
```

## Properties
**Total magnetic moment**: 0.001 μB per cell
**Energy**: -8.99 eV/atom